# 1
VASP calculation (PBE-GGA) on a geometry-optimized Rb6Au2OF structure.

abc: 14.0626 14.0626 14.0626
angles: 32.58 32.58 32.58
Element x y z (fractional)
Rb  0.1167  0.1167  0.6437
Rb  0.1167  0.6437  0.1167
Rb  0.2145  0.7024  0.7024
Rb  0.2976  0.2976  0.7855
Rb  0.2976  0.7855  0.2976
Rb  0.3563  0.8833  0.8833
Rb  0.6437  0.1167  0.1167
Rb  0.7024  0.2145  0.7024
Rb  0.7024  0.7024  0.2145
Rb  0.7855  0.2976  0.2976
Rb  0.8833  0.3563  0.8833
Rb  0.8833  0.8833  0.3563
Au  0.2073  0.2073  0.2073
Au  0.3753  0.3753  0.3753
Au  0.6247  0.6247  0.6247
Au  0.7927  0.7927  0.7927
O  0.0000  0.0000  0.0000
O  0.5000  0.5000  0.5000
F  0.0872  0.0872  0.0872
F  0.9128  0.9128  0.9128

Output
Formation energy without anion corrections, kcal/mol of atoms: -21.532
Space group: No. 166
Total energy, eV/atom: -2.85

---

# 2
VASP calculation (PBE-GGA) on a geometry-optimized RbAuOF2 structure.

abc: 4.6927 4.6927 3.9537
angles: 90.00 90.00 90.00
Element x y z (fractional)
Rb  0.0000  0.0000  0.0000
Au  0.5000  0.5000  0.5000
O  0.5000  0.5000  0.0000
F  0.0000  0.5000  0.5000
F  0.5000  0.0000  0.5000

Output
Energy above the most stable polymorph in this dataset, eV/atom: 0.000
Formation energy without anion corrections, kcal/mol of atoms: -27.985
Space group: No. 123
Total energy, eV/atom: -3.80

---

# 3
VASP calculation (PBE-GGA) on a geometry-optimized Rb12AuO3F4 structure.

abc: 9.2016 9.2016 9.2016
angles: 109.47 109.47 109.47
Element x y z (fractional)
Rb  0.1411  0.8217  0.3193
Rb  0.1783  0.3193  0.4976
Rb  0.1783  0.6807  0.8589
Rb  0.3193  0.1411  0.8217
Rb  0.3193  0.4976  0.1783
Rb  0.4976  0.1783  0.3193
Rb  0.5024  0.8217  0.6807
Rb  0.6807  0.5024  0.8217
Rb  0.6807  0.8589  0.1783
Rb  0.8217  0.3193  0.1411
Rb  0.8217  0.6807  0.5024
Rb  0.8589  0.1783  0.6807
Au  0.0000  0.0000  0.0000
O  0.0000  0.5000  0.5000
O  0.5000  0.0000  0.5000
O  0.5000  0.5000  0.0000
F  0.0000  0.0000  0.5000
F  0.0000  0.5000  0.0000
F  0.5000  0.0000  0.0000
F  0.5000  0.5000  0.5000

Output
Formation energy without anion corrections, kcal/mol of atoms: -33.557
Space group: No. 204
Total energy, eV/atom: -3.32

---

Q: What is the formation energy without anion corrections in the second record?
A: -27.985 kcal/mol of atoms

---

Q: Which of these has the lowest total energy?
A: RbAuOF2

---

Q: What is the formation energy without anion corrections in the third record?
A: -33.557 kcal/mol of atoms

---

What did the second record say?
VASP calculation (PBE-GGA) on a geometry-optimized RbAuOF2 structure.

abc: 4.6927 4.6927 3.9537
angles: 90.00 90.00 90.00
Element x y z (fractional)
Rb  0.0000  0.0000  0.0000
Au  0.5000  0.5000  0.5000
O  0.5000  0.5000  0.0000
F  0.0000  0.5000  0.5000
F  0.5000  0.0000  0.5000

Output
Energy above the most stable polymorph in this dataset, eV/atom: 0.000
Formation energy without anion corrections, kcal/mol of atoms: -27.985
Space group: No. 123
Total energy, eV/atom: -3.80